Entry 1:
Compound: TaSe2F
Source: Alexandria via LeMat-Bulk
Functional: PBE
Structure: optimized geometry

Cell and atoms, written as extended XYZ:
```
4
Lattice="2.0313 0.0000 7.7206 -1.0156 1.7591 7.7206 -1.0156 -1.7591 7.7206" Properties=species:S:1:pos:R:3 pbc="T T T"
F 0.0000 0.0000 0.0000
Se 0.0000 0.0000 20.9350
Se 0.0000 0.0000 2.2267
Ta 0.0000 0.0000 11.5809
```

Properties
For the offset from the most stable computed form, the calculation gives 419 meV per atom. The value obtained for the uncorrected formation energy is -0.870 eV per atom.



Entry 2:
Compound: AcLaPmPd
Source: Alexandria via LeMat-Bulk
Functional: PBE
Structure: optimized geometry

Cell and atoms, written as extended XYZ:
```
4
Lattice="-0.1780 -5.1352 1.9984 0.6962 -4.2992 -3.3805 4.6106 -3.0098 0.2816" Properties=species:S:1:pos:R:3 pbc="T T T"
Ac 2.5644 -6.2221 -0.5502
La 3.8466 -9.3331 -0.8254
Pd 0.0000 0.0000 0.0000
Pm 1.2822 -3.1110 -0.2751
```

Properties
Its formation energy from the elements is 21.1 meV/atom.



Entry 3:
Compound: VSiS
Source: Alexandria via LeMat-Bulk
Functional: PBE
Structure: optimized geometry

Cell and atoms, written as extended XYZ:
```
6
Lattice="5.5218 0.0000 -0.0014 0.0000 3.3656 0.0000 -1.5595 0.0000 4.9976" Properties=species:S:1:pos:R:3 pbc="T T T"
S 2.0342 0.0000 1.1281
S 1.2544 1.6828 3.6269
Si 4.1592 0.0000 1.7559
Si 3.3794 1.6828 4.2547
V -0.3390 0.0000 3.9893
V 0.4407 1.6828 1.4905
```

Properties
The value obtained for the uncorrected formation energy is -0.380 eV per atom.



Entry 4:
Compound: ZnRhW
Source: Alexandria via LeMat-Bulk
Functional: PBE
Structure: optimized geometry

Cell and atoms, written as extended XYZ:
```
3
Lattice="-1.7308 0.5640 3.9078 -1.0433 -3.4673 -2.3395 2.0675 -1.3737 1.1139" Properties=species:S:1:pos:R:3 pbc="T T T"
Rh 1.7202 -1.1429 0.9268
W -0.8127 -1.2375 2.1965
Zn 0.4535 -3.2703 0.6728
```

Properties
For the offset from the most stable computed form, the calculation gives 211 meV per atom. Its formation energy from the elements is -6.2 meV/atom.



Entry 5:
Compound: TiVFe2
Source: Alexandria via LeMat-Bulk
Functional: PBE
Structure: optimized geometry

Cell and atoms, written as extended XYZ:
```
4
Lattice="-2.4192 -0.1948 1.5976 -1.5721 -0.3312 -2.4210 0.6956 -5.8165 0.3441" Properties=species:S:1:pos:R:3 pbc="T T T"
Ti -1.9957 -0.2630 -0.4117
Fe 0.5146 -4.3035 0.2546
Fe 0.1809 -1.5130 0.0895
V -1.6479 -3.1712 -0.2396
```

Properties
Its formation energy from the elements is -256.2 meV/atom.



Entry 6:
Compound: Zr2ZnPt5Rh
Source: Alexandria via LeMat-Bulk
Functional: PBE
Structure: optimized geometry

Cell and atoms, written as extended XYZ:
```
18
Lattice="-7.9141 -0.8162 -1.7394 1.2747 -7.7468 -2.1650 2.4148 2.7858 6.7712" Properties=species:S:1:pos:R:3 pbc="T T T"
Zr -0.4634 -3.0431 -1.0315
Zr -4.7524 -1.4339 -1.3374
Zr -1.8869 -7.1290 -2.5669
Zr -6.1759 -5.5198 -2.8729
Zn -0.4525 -0.7478 2.4095
Zn -3.7721 -5.0293 0.4574
Pt -6.2301 -3.4266 -0.7906
Pt -3.3365 0.1506 3.4306
Pt 2.0055 -2.3505 3.6574
Pt 0.4770 1.4310 4.5441
Pt -1.8080 -3.6309 2.5440
Pt -4.7016 -7.2081 -1.6772
Pt -2.4166 -2.1463 0.3229
Pt -0.8881 -5.9278 -0.5637
Pt -3.3197 -4.2815 -1.9522
Pt 0.0000 0.0000 0.0000
Rh 0.1849 -4.6212 1.3270
Rh -4.4095 -1.1559 1.5398
```

Properties
Its formation energy from the elements is -156.3 meV/atom.



Entry 7:
Compound: Si5Cl
Source: Alexandria via LeMat-Bulk
Functional: PBE
Structure: optimized geometry

Cell and atoms, written as extended XYZ:
```
6
Lattice="-4.9600 -1.6028 1.2159 4.7766 -1.3531 -2.0004 2.0996 -1.7804 6.2178" Properties=species:S:1:pos:R:3 pbc="T T T"
Si -1.7130 -1.5196 0.1433
Si 2.1472 -1.8019 0.3049
Si 3.3739 -2.8420 3.9376
Si -4.5960 -1.5935 1.0957
Si -2.4509 -2.4556 3.8428
Cl 5.2649 -2.2577 1.2940
```

Properties
For the offset from the most stable computed form, the calculation gives 0 meV per atom. The value obtained for the uncorrected formation energy is 0.232 eV per atom.



Entry 8:
Compound: Pm5YSc2
Source: Alexandria via LeMat-Bulk
Functional: PBE
Structure: optimized geometry

Cell and atoms, written as extended XYZ:
```
16
Lattice="-8.4582 2.2031 2.4411 -3.0208 -2.5450 -8.1702 4.8509 -5.5946 4.9891" Properties=species:S:1:pos:R:3 pbc="T T T"
Pm -2.9211 -4.4999 -1.0659
Pm -5.3169 -0.0307 3.4677
Pm 0.0000 0.0000 0.0000
Pm -5.7395 -0.1709 -2.8646
Pm -1.3112 -5.9058 -4.2077
Pm -3.1355 -2.7782 3.5169
Pm -6.5343 -2.8794 1.8207
Pm -3.4926 -3.1583 -4.2570
Pm -0.0939 -3.0571 -2.5607
Pm -3.7070 -1.4365 0.3259
Y -6.1838 -3.0537 -1.8023
Y -0.4443 -2.8828 1.0623
Sc -2.3248 -0.5614 -2.4959
Sc -5.9483 1.0504 0.3625
Sc -5.5307 -1.3922 -6.0916
Sc -9.1543 0.2195 -3.2333
```

Properties
Its formation energy from the elements is 134.2 meV/atom.



Entry 9:
Compound: BaGaSnHg
Source: Alexandria via LeMat-Bulk
Functional: PBE
Structure: optimized geometry

Cell and atoms, written as extended XYZ:
```
4
Lattice="-1.9169 2.6037 4.4270 -4.9096 -1.3249 2.0476 -0.3499 -2.6368 4.7935" Properties=species:S:1:pos:R:3 pbc="T T T"
Ga -1.7941 -0.3395 2.8170
Hg -5.3823 -1.0185 8.4511
Sn 0.0000 0.0000 0.0000
Ba -3.5882 -0.6790 5.6340
```

Properties
Its formation energy from the elements is -324.0 meV/atom.



Entry 10:
Compound: TaRh3O
Source: Alexandria via LeMat-Bulk
Functional: PBE
Structure: optimized geometry

Cell and atoms, written as extended XYZ:
```
5
Lattice="-2.4587 3.2861 -0.4403 -2.7176 -2.3115 -2.0759 -1.8992 -0.9466 3.5404" Properties=species:S:1:pos:R:3 pbc="T T T"
Rh -1.3588 -1.1557 -1.0379
Rh -0.9496 -0.4733 1.7702
Rh -1.2293 1.6430 -0.2202
O 0.0000 0.0000 0.0000
Ta -3.5377 0.0140 0.5121
```

Properties
For the offset from the most stable computed form, the calculation gives 0 meV per atom. The value obtained for the uncorrected formation energy is 0.051 eV per atom.



Entry 11:
Compound: CePmNiAs
Source: Alexandria via LeMat-Bulk
Functional: PBE
Structure: optimized geometry

Cell and atoms, written as extended XYZ:
```
4
Lattice="-1.5001 -1.4375 4.5854 3.3413 -0.3392 3.7501 -0.1046 3.3307 3.7734" Properties=species:S:1:pos:R:3 pbc="T T T"
Ni 0.4342 0.3885 3.0272
As 1.3025 1.1654 9.0817
Ce 0.0000 0.0000 0.0000
Pm 0.8683 0.7770 6.0545
```

Properties
Its formation energy from the elements is -569.6 meV/atom.



Entry 12:
Compound: PrNd2Zr
Source: Alexandria via LeMat-Bulk
Functional: PBE
Structure: optimized geometry

Cell and atoms, written as extended XYZ:
```
4
Lattice="4.1041 0.0000 0.0000 0.0000 4.1041 0.0000 0.0000 0.0000 7.5137" Properties=species:S:1:pos:R:3 pbc="T T T"
Pr 2.0520 2.0520 3.7568
Nd 0.0000 0.0000 5.8746
Nd 0.0000 0.0000 1.6391
Zr 2.0520 2.0520 0.0000
```

Properties
For the offset from the most stable computed form, the calculation gives 57 meV per atom. Its formation energy from the elements is 182.2 meV/atom.